A plane-wave DFT calculation with PBE was carried out for a relaxed structure of LiLa3B2O8.

Computed properties:
- Calculated total energy: -7.995 eV per atom
- Uncorrected formation energy: -3.0154 eV per atom

Unit cell a=5.230 b=5.230 c=6.632 alpha=90.00 beta=90.00 gamma=120.00
Positions (direct):
Li1 0.000 0.000 0.000
La1 0.000 0.000 0.500
La2 0.333 0.667 0.158
La3 0.667 0.333 0.842
B1 0.333 0.667 0.717
B2 0.667 0.333 0.283
O1 0.179 0.359 0.802
O2 0.179 0.821 0.802
O3 0.333 0.667 0.497
O4 0.359 0.179 0.198
O5 0.641 0.821 0.802
O6 0.667 0.333 0.503
O7 0.821 0.179 0.198
O8 0.821 0.641 0.198

***

A plane-wave DFT calculation with PBE was carried out for a relaxed structure of Ac2Rh2O7.

Computed properties:
- Calculated total energy: -7.161 eV per atom
- Uncorrected formation energy: -1.9224 eV per atom

Unit cell a=7.608 b=7.608 c=7.608 alpha=60.00 beta=60.00 gamma=60.00
Positions (direct):
Ac1 0.000 0.000 0.000
Ac2 0.000 0.000 0.500
Ac3 0.000 0.500 0.000
Ac4 0.500 0.000 0.000
Rh1 0.000 0.500 0.500
Rh2 0.500 0.000 0.500
Rh3 0.500 0.500 0.000
Rh4 0.500 0.500 0.500
O1 0.125 0.125 0.125
O2 0.174 0.174 0.576
O3 0.174 0.576 0.174
O4 0.174 0.576 0.576
O5 0.424 0.424 0.826
O6 0.424 0.826 0.424
O7 0.424 0.826 0.826
O8 0.576 0.174 0.174
O9 0.576 0.174 0.576
O10 0.576 0.576 0.174
O11 0.826 0.424 0.424
O12 0.826 0.424 0.826
O13 0.826 0.826 0.424
O14 0.875 0.875 0.875

***

A plane-wave DFT calculation with PBE was carried out for a relaxed structure of Tm7Al4Tl.

Computed properties:
- ΔH_f (0 K): -104.7 meV/atom
- Calculated total energy: -4.158 eV per atom

Unit cell a=7.437 b=7.437 c=9.140 alpha=116.35 beta=116.35 gamma=44.24
Positions (direct):
Tm1 0.000 0.000 0.000
Tm2 0.243 0.243 0.710
Tm3 0.310 0.310 0.133
Tm4 0.417 0.417 0.574
Tm5 0.583 0.583 0.426
Tm6 0.690 0.690 0.867
Tm7 0.757 0.757 0.290
Al1 0.022 0.022 0.666
Al2 0.177 0.177 0.340
Al3 0.823 0.823 0.660
Al4 0.978 0.978 0.334
Tl1 0.500 0.500 0.000

***

A plane-wave DFT calculation with PBE was carried out for a relaxed structure of SrCuP.

Computed properties:
- ΔH_f (0 K): -559.6 meV/atom
- Calculated total energy: -4.289 eV per atom

Unit cell a=6.069 b=6.069 c=4.329 alpha=90.00 beta=90.00 gamma=90.00
Positions (direct):
Sr1 0.250 0.750 0.000
Sr2 0.750 0.250 0.000
Cu1 0.250 0.250 0.371
Cu2 0.750 0.750 0.629
P1 0.250 0.250 0.866
P2 0.750 0.750 0.134

***

A plane-wave DFT calculation with PBE was carried out for a relaxed structure of SrRu2O6.

Computed properties:
- Energy above the most stable polymorph in this dataset: 0.0 meV/atom
- Calculated total energy: -6.978 eV per atom
- Uncorrected formation energy: -1.4244 eV per atom

Unit cell a=5.324 b=5.324 c=5.187 alpha=90.00 beta=90.00 gamma=120.00
Positions (direct):
Sr1 0.000 0.000 0.000
Ru1 0.333 0.667 0.500
Ru2 0.667 0.333 0.500
O1 0.000 0.383 0.300
O2 0.000 0.617 0.700
O3 0.383 0.000 0.300
O4 0.383 0.383 0.700
O5 0.617 0.000 0.700
O6 0.617 0.617 0.300

***

A plane-wave DFT calculation with PBE was carried out for a relaxed structure of ScTlRh.

Computed properties:
- ΔH_f (0 K): -405.9 meV/atom
- Calculated total energy: -5.756 eV per atom

Unit cell a=5.254 b=4.947 c=5.398 alpha=90.00 beta=101.96 gamma=90.00
Positions (direct):
Sc1 0.183 0.250 0.484
Sc2 0.817 0.750 0.516
Tl1 0.276 0.750 0.074
Tl2 0.724 0.250 0.926
Rh1 0.324 0.750 0.587
Rh2 0.676 0.250 0.413